Below is crystalline NaCoAsO2 at its relaxed geometry, with properties calculated at the PBE+U level.

Cell lengths 4.140, 4.429, 4.140 Å; angles 90.00, 90.00, 90.00 degrees
Each line ends with the local moment (μB).
Positions (direct):
Na (0.500, 0.500, 0.500)  -0.01
As (0.000, 0.000, 0.000)  0.02
Co (0.000, 0.500, 0.000)  2.14
O (0.000, 0.000, 0.500)  0.24
O (0.500, 0.000, 0.000)  0.16

Summary:
size of the total moment: 2.71 μB per formula unit
density of states at the Fermi level: 0.577 states/eV/atom
energy: -4.247 eV per atom

Below is crystalline NaCoAs2O8 at its relaxed geometry, with properties calculated at the PBE+U level.

Cell lengths 4.936, 4.936, 7.232 Å; angles 90.00, 90.00, 120.00 degrees
Each line ends with the local moment (μB).
Positions (direct):
Na (0.000, 0.000, 0.500)  0.00
Co (0.000, 0.000, 0.000)  1.03
As (0.667, 0.333, 0.216)  -0.01
As (0.333, 0.667, 0.784)  -0.01
O (0.011, 0.701, 0.846)  0.04
O (0.299, 0.310, 0.846)  0.04
O (0.690, 0.989, 0.846)  0.04
O (0.989, 0.299, 0.154)  0.04
O (0.701, 0.690, 0.154)  0.04
O (0.310, 0.011, 0.154)  0.04
O (0.667, 0.333, 0.453)  0.29
O (0.333, 0.667, 0.547)  0.29

Summary:
size of the total moment: 2.02 μB per formula unit
density of states at the Fermi level: 0.546 states/eV/atom
energy: -5.564 eV per atom

Below is crystalline NaCoAs2O6 at its relaxed geometry, with properties calculated at the PBE+U level.

Cell lengths 6.140, 7.227, 7.227 Å; angles 84.64, 72.68, 72.68 degrees
Each line ends with the local moment (μB).
Positions (direct):
Na (0.250, 0.892, 0.108)  0.00
Na (0.750, 0.108, 0.892)  0.00
Co (0.250, 0.230, 0.770)  2.69
Co (0.750, 0.770, 0.230)  2.69
As (0.306, 0.787, 0.616)  -0.01
As (0.194, 0.384, 0.213)  -0.01
As (0.694, 0.213, 0.384)  -0.01
As (0.806, 0.616, 0.787)  -0.01
O (0.174, 0.976, 0.779)  0.04
O (0.326, 0.221, 0.024)  0.04
O (0.826, 0.024, 0.221)  0.04
O (0.674, 0.779, 0.976)  0.04
O (0.410, 0.867, 0.382)  0.01
O (0.090, 0.618, 0.133)  0.01
O (0.590, 0.133, 0.618)  0.01
O (0.910, 0.382, 0.867)  0.01
O (0.065, 0.675, 0.621)  0.00
O (0.435, 0.379, 0.325)  0.00
O (0.935, 0.325, 0.379)  0.00
O (0.565, 0.621, 0.675)  0.00

Summary:
size of the total moment: 2.86 μB per formula unit
density of states at the Fermi level: 0.173 states/eV/atom
energy: -5.756 eV per atom

Below is crystalline NaCo2As3O10 at its relaxed geometry, with properties calculated at the PBE+U level.

Cell lengths 6.897, 7.949, 8.914 Å; angles 108.52, 108.63, 99.79 degrees
Each line ends with the local moment (μB).
Positions (direct):
Na (0.257, 0.295, 0.452)  0.00
Na (0.739, 0.708, 0.548)  0.00
Co (0.895, 0.171, 0.064)  2.73
Co (0.108, 0.828, 0.936)  2.73
Co (0.553, 0.347, 0.860)  2.75
Co (0.454, 0.651, 0.137)  2.75
As (0.988, 0.623, 0.207)  0.02
As (0.014, 0.376, 0.794)  0.02
As (0.545, 0.742, 0.833)  0.02
As (0.455, 0.259, 0.167)  0.02
As (0.234, 0.922, 0.621)  0.01
As (0.764, 0.078, 0.378)  0.01
O (0.160, 0.712, 0.129)  0.06
O (0.842, 0.287, 0.872)  0.06
O (0.432, 0.803, 0.981)  0.05
O (0.571, 0.199, 0.022)  0.04
O (0.728, 0.599, 0.082)  0.06
O (0.275, 0.399, 0.915)  0.05
O (0.375, 0.122, 0.630)  0.03
O (0.620, 0.878, 0.369)  0.04
O (0.399, 0.775, 0.640)  0.01
O (0.601, 0.227, 0.361)  0.01
O (0.512, 0.513, 0.725)  0.04
O (0.483, 0.487, 0.274)  0.04
O (0.028, 0.437, 0.252)  0.04
O (0.972, 0.563, 0.749)  0.04
O (0.089, 0.923, 0.741)  0.03
O (0.911, 0.078, 0.260)  0.02
O (0.797, 0.886, 0.896)  0.04
O (0.203, 0.114, 0.105)  0.04
O (0.027, 0.797, 0.410)  0.01
O (0.970, 0.201, 0.589)  0.01

Summary:
size of the total moment: 6.02 μB per formula unit
density of states at the Fermi level: 0.000 states/eV/atom
energy: -5.962 eV per atom

Below is crystalline NaCoAs2O at its relaxed geometry, with properties calculated at the PBE+U level.

Cell lengths 5.080, 3.437, 5.080 Å; angles 90.00, 90.00, 90.00 degrees
Each line ends with the local moment (μB).
Positions (direct):
Na (0.500, 0.500, 0.500)  0.00
As (0.000, 0.000, 0.500)  -0.07
As (0.500, 0.000, 0.000)  -0.06
Co (0.000, 0.000, 0.000)  1.55
O (0.000, 0.500, 0.000)  0.23

Summary:
size of the total moment: 1.56 μB per formula unit
density of states at the Fermi level: 0.533 states/eV/atom
energy: -4.139 eV per atom